[1]
HIrS2, optimized geometry, DFT GGA-PBE; volume = 53.1 Å³ per cell; symmetry = C2/m (12); magnetic moment = 0.00 μB per formula unit; E above lowest polymorph = 1.85 eV/f.u.
1.0
3.3092 -1.4666 0.0000
3.3092 1.4666 0.0000
-2.5338 0.0000 5.4734
H Ir S
1 1 2
Direct
0.0000 0.0000 0.0000
0.5000 0.5000 0.5000
0.3024 0.3024 0.7508
0.6976 0.6976 0.2492

***

[2]
Pr8TcHg2, optimized geometry, DFT GGA-PBE; volume = 348.4 Å³ per cell; symmetry = Cm (8); magnetic moment = 0.00 μB per formula unit; E above lowest polymorph = 0.19 eV/f.u.
1.0
4.3644 -8.0119 0.0000
4.3644 8.0119 0.0000
-4.0992 0.0000 4.9824
Pr Tc Hg
8 1 2
Direct
0.0000 0.0000 0.0000
0.0544 0.8156 0.4061
0.0600 0.4426 0.0857
0.3407 0.5635 0.7423
0.4426 0.0600 0.0857
0.5447 0.5447 0.3317
0.5635 0.3407 0.7423
0.8156 0.0544 0.4061
0.2072 0.2072 0.8100
0.5343 0.9391 0.6367
0.9391 0.5343 0.6367